Record 1
RbV3Br: optimized geometry, PBE.

Cell and atoms, written as CIF:
```
data_RbV3Br
_chemical_formula_sum 'Rb1 V3 Br1'
_cell_length_a 4.651
_cell_length_b 4.651
_cell_length_c 4.651
_cell_angle_alpha 90.00
_cell_angle_beta 90.00
_cell_angle_gamma 90.00
_symmetry_space_group_name_H-M 'P m -3 m'
_symmetry_Int_Tables_number 221
_symmetry_space_group_name_Hall '-P 4 2 3'
loop_
_atom_site_label
_atom_site_type_symbol
_atom_site_fract_x
_atom_site_fract_y
_atom_site_fract_z
Rb1 Rb 0.000 0.000 0.000
V1 V 0.000 0.000 0.500
Br1 Br 0.500 0.500 0.500
```

## Properties
- Density of states at the Fermi level: 7.23 states/eV per cell
- M_tot: 1.12 Bohr magnetons per cell
- Formation energy from raw total energies: 2.8405 eV/atom

Record 2
RbVBr3: optimized geometry, PBE.

Cell and atoms, written as CIF:
```
data_RbVBr3
_chemical_formula_sum 'Rb6 V6 Br18'
_cell_length_a 13.0006
_cell_length_b 13.0006
_cell_length_c 6.6037
_cell_angle_alpha 90.00
_cell_angle_beta 90.00
_cell_angle_gamma 120.00
_symmetry_space_group_name_H-M 'P 63 c m'
_symmetry_Int_Tables_number 185
_symmetry_space_group_name_Hall 'P 6c -2'
loop_
_atom_site_label
_atom_site_type_symbol
_atom_site_fract_x
_atom_site_fract_y
_atom_site_fract_z
Rb1 Rb 0.0000 0.3356 0.0000
V1 V 0.0000 0.0000 0.1661
V2 V 0.3333 0.6667 0.3052
Br1 Br 0.0000 0.1592 0.4149
Br2 Br 0.1744 0.5067 0.5560
```

## Properties
- M_tot: 18.00 Bohr magnetons per cell
- Formation energy from raw total energies: -1.1962 eV/atom

Record 3
RbVZn2Br8: optimized geometry, PBE.

Cell and atoms, written as CIF:
```
data_RbVZn2Br8
_chemical_formula_sum 'Rb3 V3 Zn6 Br24'
_cell_length_a 6.5056
_cell_length_b 6.5056
_cell_length_c 33.3698
_cell_angle_alpha 90.00
_cell_angle_beta 90.00
_cell_angle_gamma 120.00
_symmetry_space_group_name_H-M 'R 3 2'
_symmetry_Int_Tables_number 155
_symmetry_space_group_name_Hall 'R 3 2"'
loop_
_atom_site_label
_atom_site_type_symbol
_atom_site_fract_x
_atom_site_fract_y
_atom_site_fract_z
Rb1 Rb 0.0000 0.0000 0.0000
V1 V 0.0000 0.0000 0.5000
Zn1 Zn 0.0000 0.0000 0.2380
Br1 Br 0.0000 0.0000 0.3094
Br2 Br 0.0181 0.3729 0.2174
```

## Properties
- Density of states at the Fermi level: 18.55 states/eV per cell
- M_tot: 6.00 Bohr magnetons per cell
- Formation energy from raw total energies: -0.9010 eV/atom

Record 4
Rb2WBr: optimized geometry, PBE.

Cell and atoms, written as CIF:
```
data_Rb2WBr
_chemical_formula_sum 'Rb8 W4 Br4'
_cell_length_a 8.754
_cell_length_b 8.754
_cell_length_c 8.754
_cell_angle_alpha 90.00
_cell_angle_beta 90.00
_cell_angle_gamma 90.00
_symmetry_space_group_name_H-M 'F m -3 m'
_symmetry_Int_Tables_number 225
_symmetry_space_group_name_Hall '-F 4 2 3'
loop_
_atom_site_label
_atom_site_type_symbol
_atom_site_fract_x
_atom_site_fract_y
_atom_site_fract_z
Rb1 Rb 0.250 0.250 0.250
W1 W 0.000 0.000 0.000
Br1 Br 0.000 0.000 0.500
```

## Properties
- Density of states at the Fermi level: 0.00 states/eV per cell
- M_tot: 20.00 Bohr magnetons per cell
- Formation energy from raw total energies: 0.8273 eV/atom

Among the records above, which one has the lowest formation energy from raw total energies?
RbVBr3

The highest M_tot belongs to which entry?
Rb2WBr